1.
DFT (PBE-GGA) results for a relaxed structure of NaScAs2F.

## Properties
For the formation energy without anion corrections, the calculation gives -709 meV/atom. As for the total energy: -4.47 eV per atom. For the density of states at the Fermi level, the calculation gives 2.09 states/eV/cell.

The structure in CIF format:
```
data_NaScAs2F
_cell_length_a 5.1325
_cell_length_b 3.9882
_cell_length_c 5.1325
_cell_angle_alpha 90.00
_cell_angle_beta 90.00
_cell_angle_gamma 90.00
_symmetry_space_group_name_H-M 'P 1'
_symmetry_Int_Tables_number 1
loop_
_symmetry_equiv_pos_as_xyz
'x,y,z'
loop_
_atom_site_label
_atom_site_type_symbol
_atom_site_fract_x
_atom_site_fract_y
_atom_site_fract_z
Sc1 Sc 0.0000 0.5000 0.0000
Na1 Na 0.5000 0.5000 0.5000
F1 F 0.0000 0.0000 0.0000
As1 As 0.5000 0.0000 0.0000
As2 As 0.0000 0.0000 0.5000
```

***

2.
DFT (PBE-GGA) results for a relaxed structure of NaAsSe2F.

## Properties
For the formation energy without anion corrections, the calculation gives -107 meV/atom. As for the total energy: -3.07 eV per atom. For the density of states at the Fermi level, the calculation gives 3.27 states/eV/cell.

The structure in CIF format:
```
data_NaAsSe2F
_cell_length_a 5.1186
_cell_length_b 5.1186
_cell_length_c 4.1395
_cell_angle_alpha 90.00
_cell_angle_beta 90.00
_cell_angle_gamma 90.00
_symmetry_space_group_name_H-M 'P 1'
_symmetry_Int_Tables_number 1
loop_
_symmetry_equiv_pos_as_xyz
'x,y,z'
loop_
_atom_site_label
_atom_site_type_symbol
_atom_site_fract_x
_atom_site_fract_y
_atom_site_fract_z
Na1 Na 0.5000 0.5000 0.5000
Se1 Se 0.0000 0.5000 0.0000
Se2 Se 0.5000 0.0000 0.0000
As1 As 0.0000 0.0000 0.5000
F1 F 0.0000 0.0000 0.0000
```

***

3.
DFT (PBE-GGA) results for a relaxed structure of NaAsSe2F.

## Properties
For the formation energy without anion corrections, the calculation gives 707 meV/atom. As for the total energy: -2.26 eV per atom. For the density of states at the Fermi level, the calculation gives 6.48 states/eV/cell.

The structure in CIF format:
```
data_NaAsSe2F
_cell_length_a 4.9599
_cell_length_b 4.9599
_cell_length_c 5.1641
_cell_angle_alpha 90.00
_cell_angle_beta 90.00
_cell_angle_gamma 90.00
_symmetry_space_group_name_H-M 'P 1'
_symmetry_Int_Tables_number 1
loop_
_symmetry_equiv_pos_as_xyz
'x,y,z'
loop_
_atom_site_label
_atom_site_type_symbol
_atom_site_fract_x
_atom_site_fract_y
_atom_site_fract_z
F1 F 0.5000 0.5000 0.5000
Se1 Se 0.5000 0.0000 0.0000
Na1 Na 0.0000 0.0000 0.0000
As1 As 0.0000 0.0000 0.5000
Se2 Se 0.0000 0.5000 0.0000
```

***

4.
DFT (PBE-GGA) results for a relaxed structure of Na2SiAsF.

## Properties
For the formation energy without anion corrections, the calculation gives -9 meV/atom. As for the total energy: -2.93 eV per atom. For the density of states at the Fermi level, the calculation gives 3.55 states/eV/cell.

The structure in CIF format:
```
data_Na2SiAsF
_cell_length_a 5.7268
_cell_length_b 4.0791
_cell_length_c 5.7268
_cell_angle_alpha 90.00
_cell_angle_beta 90.00
_cell_angle_gamma 90.00
_symmetry_space_group_name_H-M 'P 1'
_symmetry_Int_Tables_number 1
loop_
_symmetry_equiv_pos_as_xyz
'x,y,z'
loop_
_atom_site_label
_atom_site_type_symbol
_atom_site_fract_x
_atom_site_fract_y
_atom_site_fract_z
F1 F 0.0000 0.5000 0.0000
Si1 Si 0.5000 0.5000 0.5000
Na1 Na 0.5000 0.0000 0.0000
Na2 Na 0.0000 0.0000 0.5000
As1 As 0.0000 0.0000 0.0000
```

***

5.
DFT (PBE-GGA) results for a relaxed structure of NaSiAsF2.

## Properties
For the formation energy without anion corrections, the calculation gives -752 meV/atom. As for the total energy: -3.78 eV per atom. For the density of states at the Fermi level, the calculation gives 1.63 states/eV/cell.

The structure in CIF format:
```
data_NaSiAsF2
_cell_length_a 3.9979
_cell_length_b 7.4876
_cell_length_c 3.9979
_cell_angle_alpha 90.00
_cell_angle_beta 90.00
_cell_angle_gamma 90.00
_symmetry_space_group_name_H-M 'P 1'
_symmetry_Int_Tables_number 1
loop_
_symmetry_equiv_pos_as_xyz
'x,y,z'
loop_
_atom_site_label
_atom_site_type_symbol
_atom_site_fract_x
_atom_site_fract_y
_atom_site_fract_z
Si1 Si 0.0000 0.0000 0.0000
F1 F 0.0000 0.0000 0.5000
Na1 Na 0.0000 0.5000 0.0000
As1 As 0.5000 0.5000 0.5000
F2 F 0.5000 0.0000 0.0000
```

***

6.
DFT (PBE-GGA) results for a relaxed structure of Na2SrAsF.

## Properties
For the formation energy without anion corrections, the calculation gives -1554 meV/atom. As for the total energy: -3.72 eV per atom. For the density of states at the Fermi level, the calculation gives 0.00 states/eV/cell.

The structure in CIF format:
```
data_Na2SrAsF
_cell_length_a 4.6152
_cell_length_b 5.1074
_cell_length_c 4.6152
_cell_angle_alpha 90.00
_cell_angle_beta 90.00
_cell_angle_gamma 90.00
_symmetry_space_group_name_H-M 'P 1'
_symmetry_Int_Tables_number 1
loop_
_symmetry_equiv_pos_as_xyz
'x,y,z'
loop_
_atom_site_label
_atom_site_type_symbol
_atom_site_fract_x
_atom_site_fract_y
_atom_site_fract_z
Sr1 Sr 0.0000 0.5000 0.0000
As1 As 0.5000 0.5000 0.5000
F1 F 0.0000 0.0000 0.0000
Na1 Na 0.5000 0.0000 0.0000
Na2 Na 0.0000 0.0000 0.5000
```

***

7.
DFT (PBE-GGA) results for a relaxed structure of NaTcAsF2.

## Properties
For the formation energy without anion corrections, the calculation gives -385 meV/atom. As for the total energy: -4.40 eV per atom. For the density of states at the Fermi level, the calculation gives 2.63 states/eV/cell.

The structure in CIF format:
```
data_NaTcAsF2
_cell_length_a 4.6178
_cell_length_b 4.6178
_cell_length_c 4.7885
_cell_angle_alpha 90.00
_cell_angle_beta 90.00
_cell_angle_gamma 90.00
_symmetry_space_group_name_H-M 'P 1'
_symmetry_Int_Tables_number 1
loop_
_symmetry_equiv_pos_as_xyz
'x,y,z'
loop_
_atom_site_label
_atom_site_type_symbol
_atom_site_fract_x
_atom_site_fract_y
_atom_site_fract_z
F1 F 0.5000 0.0000 0.0000
F2 F 0.0000 0.5000 0.0000
Na1 Na 0.5000 0.5000 0.5000
Tc1 Tc 0.0000 0.0000 0.5000
As1 As 0.0000 0.0000 0.0000
```

***

8.
DFT (PBE-GGA) results for a relaxed structure of NaTeAs2F.

## Properties
For the formation energy without anion corrections, the calculation gives 194 meV/atom. As for the total energy: -2.93 eV per atom. For the density of states at the Fermi level, the calculation gives 3.23 states/eV/cell.

The structure in CIF format:
```
data_NaTeAs2F
_cell_length_a 5.2695
_cell_length_b 6.4341
_cell_length_c 5.2695
_cell_angle_alpha 90.00
_cell_angle_beta 90.00
_cell_angle_gamma 90.00
_symmetry_space_group_name_H-M 'P 1'
_symmetry_Int_Tables_number 1
loop_
_symmetry_equiv_pos_as_xyz
'x,y,z'
loop_
_atom_site_label
_atom_site_type_symbol
_atom_site_fract_x
_atom_site_fract_y
_atom_site_fract_z
Te1 Te 0.0000 0.0000 0.0000
As1 As 0.0000 0.0000 0.5000
As2 As 0.5000 0.0000 0.0000
F1 F 0.5000 0.5000 0.5000
Na1 Na 0.0000 0.5000 0.0000
```

***

9.
DFT (PBE-GGA) results for a relaxed structure of NaTi2AsF.

## Properties
For the formation energy without anion corrections, the calculation gives 279 meV/atom. As for the total energy: -4.45 eV per atom. For the density of states at the Fermi level, the calculation gives 4.89 states/eV/cell.

The structure in CIF format:
```
data_NaTi2AsF
_cell_length_a 4.9027
_cell_length_b 3.7452
_cell_length_c 4.9027
_cell_angle_alpha 90.00
_cell_angle_beta 90.00
_cell_angle_gamma 90.00
_symmetry_space_group_name_H-M 'P 1'
_symmetry_Int_Tables_number 1
loop_
_symmetry_equiv_pos_as_xyz
'x,y,z'
loop_
_atom_site_label
_atom_site_type_symbol
_atom_site_fract_x
_atom_site_fract_y
_atom_site_fract_z
Ti1 Ti 0.0000 0.0000 0.5000
Na1 Na 0.0000 0.0000 0.0000
Ti2 Ti 0.5000 0.0000 0.0000
F1 F 0.0000 0.5000 0.0000
As1 As 0.5000 0.5000 0.5000
```

***

10.
DFT (PBE-GGA) results for a relaxed structure of Na2TlAsF.

## Properties
For the formation energy without anion corrections, the calculation gives -1062 meV/atom. As for the total energy: -3.37 eV per atom. For the density of states at the Fermi level, the calculation gives 0.28 states/eV/cell.

The structure in CIF format:
```
data_Na2TlAsF
_cell_length_a 4.4444
_cell_length_b 4.4444
_cell_length_c 5.4027
_cell_angle_alpha 90.00
_cell_angle_beta 90.00
_cell_angle_gamma 90.00
_symmetry_space_group_name_H-M 'P 1'
_symmetry_Int_Tables_number 1
loop_
_symmetry_equiv_pos_as_xyz
'x,y,z'
loop_
_atom_site_label
_atom_site_type_symbol
_atom_site_fract_x
_atom_site_fract_y
_atom_site_fract_z
F1 F 0.0000 0.0000 0.0000
Na1 Na 0.0000 0.5000 0.0000
Na2 Na 0.5000 0.0000 0.0000
As1 As 0.5000 0.5000 0.5000
Tl1 Tl 0.0000 0.0000 0.5000
```

***

11.
DFT (PBE-GGA) results for a relaxed structure of NaTlAsF6.

## Properties
For the formation energy without anion corrections, the calculation gives -2178 meV/atom. As for the total energy: -4.35 eV per atom. For the density of states at the Fermi level, the calculation gives 1.42 states/eV/cell.

The structure in CIF format:
```
data_NaTlAsF6
_cell_length_a 5.8079
_cell_length_b 5.8079
_cell_length_c 5.7527
_cell_angle_alpha 90.02
_cell_angle_beta 89.98
_cell_angle_gamma 59.95
_symmetry_space_group_name_H-M 'P 1'
_symmetry_Int_Tables_number 1
loop_
_symmetry_equiv_pos_as_xyz
'x,y,z'
loop_
_atom_site_label
_atom_site_type_symbol
_atom_site_fract_x
_atom_site_fract_y
_atom_site_fract_z
F1 F 0.5992 0.0525 0.3094
F2 F 0.5984 0.3486 0.6908
F3 F 0.0531 0.3482 0.3092
F4 F 0.3486 0.5985 0.3091
F5 F 0.3482 0.0532 0.6908
Na1 Na 0.6665 0.6666 0.5000
Tl1 Tl 0.9999 0.0000 0.0000
As1 As 0.3333 0.3334 0.5000
F6 F 0.0524 0.5992 0.6905
```